Below is Y9Er4Tl11 after structural relaxation, with properties calculated at the PBE level.

For the formation energy, the calculation gives -0.28 eV per atom.

The space group is Cmmm (No. 65) and the conventional cell measures 16.2078, 22.8478 and 3.5883 Å, with angles of 90.00, 90.00 and 90.00 degrees. Symmetry generates all atoms from Y at (0.0000, 0.0000, 0.0000), Y at (0.1114, 0.4075, 0.0000), Y at (0.1141, 0.2293, 0.0000), Er at (0.1653, 0.0816, 0.0000), Tl at (0.0000, 0.1234, 0.5000), Tl at (0.0000, 0.3152, 0.5000), Tl at (0.0000, 0.5000, 0.5000), Tl at (0.2171, 0.5000, 0.5000) and Tl at (0.2323, 0.3212, 0.5000).